8
Lattice="-3.676 3.676 4.000 3.676 -3.676 4.000 3.676 3.676 -4.000" Properties=species:S:1:pos:R:3 comment="PBE-GGA UTl2FeS4, relaxed" e_form_raw_ev_per_atom=-0.497 sg="No. 82" dft_energy_ev_per_atom=-5.622 pbc="T T T"
U 0.000 0.000 0.000
Tl 3.676 0.000 2.000
Tl 0.000 0.000 4.000
Fe 0.000 3.676 2.000
S 2.005 1.262 -1.058
S 2.413 -1.671 5.058
S 1.671 2.413 2.942
S 1.262 5.346 1.058